Record 1
The following is a DFT calculation (PBE-GGA) of a relaxed Dy4BO7 crystal.

Cell and atoms, written as POSCAR:
```
Dy4BO7
1.0
-2.1104 -2.8100 2.0714
-2.1904 -4.4191 -4.2098
3.8861 -5.0322 1.1494
Dy O B
4 7 1
direct
0.7247 0.6757 0.8749
0.4042 0.7882 0.4035
0.5958 0.2118 0.5965
0.2753 0.3243 0.1251
0.5000 0.0000 0.0000
0.9399 0.2133 0.9069
0.0601 0.7867 0.0931
0.3580 0.5345 0.7494
0.1924 0.1564 0.4589
0.8076 0.8436 0.5411
0.6420 0.4655 0.2506
0.0000 0.0000 0.0000
```

Computed properties:
Energy relative to the elements, uncorrected   -2.99 eV/atom



Record 2
The following is a DFT calculation (PBE-GGA) of a relaxed UTc2Ge2Pt crystal.

Cell and atoms, written as POSCAR:
```
UTc2Ge2Pt
1.0
4.3972 0.0000 0.0000
0.0000 5.9314 0.0000
0.0000 0.0000 7.7247
Tc Pt Ge U
4 2 4 2
direct
0.5000 0.5381 0.9582
0.0000 0.3594 0.2134
0.5000 0.0381 0.0418
0.0000 0.8594 0.7866
0.5000 0.6815 0.3111
0.5000 0.1815 0.6889
0.0000 0.2550 0.9089
0.5000 0.7539 0.6682
0.5000 0.2539 0.3318
0.0000 0.7550 0.0911
0.0000 0.9576 0.4313
0.0000 0.4576 0.5687
```

Computed properties:
Calculated formation energy   -0.2418 eV/atom



Record 3
The following is a DFT calculation (PBE-GGA) of a relaxed Ba3Nd crystal.

Cell and atoms, written as POSCAR:
```
Ba3Nd
1.0
-1.0360 -4.0989 0.1424
1.2700 -0.5676 -7.1005
6.4118 0.7281 4.7751
Nd Ba
1 3
direct
0.0000 0.9910 0.0000
0.2616 0.6054 0.5232
0.5000 0.4882 0.0000
0.7384 0.0822 0.4768
```

Computed properties:
Calculated formation energy   0.1765 eV/atom



Record 4
The following is a DFT calculation (PBE-GGA) of a relaxed Nd2Er6Pu crystal.

Cell and atoms, written as POSCAR:
```
Nd2Er6Pu
1.0
6.1098 -0.5589 0.1435
1.9342 10.3095 -1.1119
-2.4163 -1.5518 8.8884
Er Nd Pu
12 4 2
direct
0.7524 0.0012 0.7537
0.8055 0.8935 0.3583
0.5830 0.3296 0.9172
0.4170 0.6704 0.0828
0.9705 0.5578 0.1909
0.6366 0.2174 0.5277
0.8649 0.7824 0.9744
0.1945 0.1065 0.6417
0.1351 0.2176 0.0256
0.3634 0.7826 0.4723
0.0295 0.4422 0.8091
0.2476 0.9988 0.2463
0.5257 0.4420 0.3002
0.9253 0.6739 0.5859
0.4743 0.5580 0.6998
0.0747 0.3261 0.4141
0.3143 0.8921 0.8641
0.6857 0.1079 0.1359
```

Computed properties:
Calculated formation energy   0.0546 eV/atom